[1]
DFT (GGA-PBE) results for crystalline CaY2AlH at its relaxed geometry.

a b c (Å): 4.8427 4.8427 4.7844
angles (deg): 90.00 90.00 90.00
With the nearest neighbours (Å) after each atom.
Element x y z (fractional)
1 H 0.0000 0.0000 0.0000  2 Ca 2.39, 4 Y 2.42
2 Y 0.0000 0.5000 0.0000  2 H 2.42
3 Y 0.5000 0.0000 0.0000  2 H 2.42
4 Al 0.5000 0.5000 0.5000  8 Y 3.40, 4 Ca 3.42
5 Ca 0.0000 0.0000 0.5000  2 H 2.39

The calculation puts the total DFT energy (no corrections) at -4.631 eV per atom. As for the crystal system: tetragonal.



[2]
DFT (GGA-PBE) results for crystalline CaHf2Al at its relaxed geometry.

a b c (Å): 8.2197 8.2197 6.5174
angles (deg): 50.91 50.91 90.00
With the nearest neighbours (Å) after each atom.
Element x y z (fractional)
1 Hf 0.5849 0.1250 0.2500  2 Al 2.78, 2 Hf 3.02
2 Hf 0.1651 0.6250 0.2500  2 Al 2.78, 2 Hf 3.02
3 Hf 0.8750 0.8349 0.7500  2 Al 2.78, 2 Hf 3.02
4 Hf 0.3750 0.4151 0.7500  2 Al 2.78, 2 Hf 3.02
5 Ca 0.0000 0.0000 0.0000  2 Al 2.95, 4 Hf 3.23
6 Ca 0.7500 0.2500 0.5000  2 Al 2.95, 4 Hf 3.23
7 Al 0.5000 0.5000 0.0000  4 Hf 2.78, 2 Ca 2.95
8 Al 0.2500 0.7500 0.5000  4 Hf 2.78, 2 Ca 2.95

The calculation puts the total DFT energy (no corrections) at -5.853 eV per atom. As for the crystal system: tetragonal. The energy of formation from the pure elements comes out at 12.9 kcal/mol of atoms.



total DFT energy (no corrections) of number 1 (CaY2AlH)? -4.631 eV per atom



Copy entry 1 word for word.
DFT (GGA-PBE) results for crystalline CaY2AlH at its relaxed geometry.

a b c (Å): 4.8427 4.8427 4.7844
angles (deg): 90.00 90.00 90.00
With the nearest neighbours (Å) after each atom.
Element x y z (fractional)
1 H 0.0000 0.0000 0.0000  2 Ca 2.39, 4 Y 2.42
2 Y 0.0000 0.5000 0.0000  2 H 2.42
3 Y 0.5000 0.0000 0.0000  2 H 2.42
4 Al 0.5000 0.5000 0.5000  8 Y 3.40, 4 Ca 3.42
5 Ca 0.0000 0.0000 0.5000  2 H 2.39

The calculation puts the total DFT energy (no corrections) at -4.631 eV per atom. As for the crystal system: tetragonal.



The lowest total DFT energy (no corrections) belongs to which entry? CaHf2Al



Which of these has the highest total DFT energy (no corrections)? CaY2AlH